1.
This record from Alexandria describes an optimized crystal structure of YBe2Pb. The functional is PBE-GGA.

Lattice parameters (Å, degrees): 4.457 4.457 9.290 76.12 76.12 90.00
Sites, in units of the cell vectors:
Pb  0.000  0.000  0.000
Pb  0.750  0.250  0.500
Y  0.500  0.500  0.000
Y  0.250  0.750  0.500
Be  0.875  0.125  0.250
Be  0.875  0.625  0.250
Be  0.375  0.125  0.750
Be  0.875  0.125  0.750

Properties
Its space group is I4_1/amd (141). The calculation puts the formation energy at 134 kJ/mol of formula units. The density of states at the Fermi level comes out at 0.266 states/eV per atom. Its total energy is -4.06 eV per atom.


2.
This record from Alexandria describes an optimized crystal structure of LiPm3Sc3S8. The functional is PBE-GGA.

Lattice parameters (Å, degrees): 7.627 7.627 7.712 119.63 90.00 120.00
Sites, in units of the cell vectors:
Li  0.000  0.000  0.500
Pm  0.000  0.000  0.000
Pm  0.000  0.500  0.000
Pm  0.500  0.500  0.000
Sc  0.500  0.000  0.500
Sc  0.500  0.500  0.500
Sc  0.000  0.500  0.500
S  0.258  0.517  0.275
S  0.742  0.483  0.725
S  0.754  0.508  0.272
S  0.246  0.492  0.728
S  0.754  0.017  0.271
S  0.246  0.983  0.729
S  0.264  0.017  0.271
S  0.736  0.983  0.729

Properties
Its space group is R-3m (166). The density of states at the Fermi level comes out at 0.294 states/eV per atom. Its total energy is -6.46 eV per atom. For the uncorrected formation energy, the calculation gives -1912 meV/atom.


3.
This record from Alexandria describes an optimized crystal structure of La2TeH3. The functional is PBE-GGA.

Lattice parameters (Å, degrees): 4.142 4.142 7.344 90.00 90.00 120.00
Sites, in units of the cell vectors:
La  0.333  0.667  0.290
La  0.667  0.333  0.710
Te  0.000  0.000  0.000
H  0.000  0.000  0.500
H  0.333  0.667  0.626
H  0.667  0.333  0.374

Properties
Its space group is P-3m1 (164). The density of states at the Fermi level comes out at 0.480 states/eV per atom. Its total energy is -4.72 eV per atom.


4.
This record from Alexandria describes an optimized crystal structure of ZnHg2Rh2. The functional is PBE-GGA.

Lattice parameters (Å, degrees): 6.571 6.571 4.187 90.00 90.00 90.00
Sites, in units of the cell vectors:
Zn  0.000  0.000  0.000
Zn  0.500  0.500  0.000
Rh  0.359  0.859  0.000
Rh  0.859  0.641  0.000
Rh  0.641  0.141  0.000
Rh  0.141  0.359  0.000
Hg  0.165  0.665  0.500
Hg  0.665  0.835  0.500
Hg  0.835  0.335  0.500
Hg  0.335  0.165  0.500

Properties
Its space group is P4/mbm (127). The calculation puts the formation energy at -5 kJ/mol of formula units. The density of states at the Fermi level comes out at 0.348 states/eV per atom. Its total energy is -3.33 eV per atom.


5.
This record from Alexandria describes an optimized crystal structure of BaFeIr2. The functional is PBE-GGA.

Lattice parameters (Å, degrees): 5.752 5.752 5.752 149.83 126.02 63.09
Sites, in units of the cell vectors:
Ba  0.750  0.250  0.500
Fe  0.250  0.750  0.500
Ir  0.041  0.041  0.000
Ir  0.459  0.459  0.000

Properties
Its space group is Immm (71). The calculation puts the formation energy at 255 kJ/mol of formula units. The density of states at the Fermi level comes out at 1.214 states/eV per atom. Its total energy is -6.37 eV per atom.


6.
This record from Alexandria describes an optimized crystal structure of YCoAg2. The functional is PBE-GGA.

Lattice parameters (Å, degrees): 3.461 3.475 7.189 61.09 90.00 90.00
Sites, in units of the cell vectors:
Ag  0.000  0.969  0.031
Ag  0.500  0.238  0.262
Co  0.000  0.520  0.480
Y  0.500  0.773  0.727

Properties
Its space group is Pmm2 (25). The calculation puts the formation energy at 14 kJ/mol of formula units. The density of states at the Fermi level comes out at 0.845 states/eV per atom. Its total energy is -4.78 eV per atom.


7.
This record from Alexandria describes an optimized crystal structure of Ta4ZnTc. The functional is PBE-GGA.

Lattice parameters (Å, degrees): 5.363 5.363 5.363 60.00 60.00 60.00
Sites, in units of the cell vectors:
Ta  0.873  0.376  0.376
Ta  0.376  0.376  0.873
Ta  0.376  0.873  0.376
Ta  0.376  0.376  0.376
Zn  0.000  0.000  0.000
Tc  0.750  0.750  0.750

Properties
Its space group is F-43m (216). The calculation puts the formation energy at 283 kJ/mol of formula units. The density of states at the Fermi level comes out at 1.219 states/eV per atom. Its total energy is -9.35 eV per atom.


8.
This record from Alexandria describes an optimized crystal structure of In2Hg. The functional is PBE-GGA.

Lattice parameters (Å, degrees): 4.735 6.410 10.524 90.00 90.00 90.00
Sites, in units of the cell vectors:
Hg  0.250  0.667  0.406
Hg  0.750  0.833  0.906
Hg  0.250  0.167  0.094
Hg  0.750  0.333  0.594
In  0.250  0.066  0.757
In  0.750  0.434  0.257
In  0.250  0.566  0.743
In  0.750  0.934  0.243
In  0.250  0.167  0.425
In  0.750  0.333  0.925
In  0.250  0.667  0.075
In  0.750  0.833  0.575

Properties
Its space group is Pnma (62). The calculation puts the formation energy at 3 kJ/mol of formula units. The density of states at the Fermi level comes out at 0.368 states/eV per atom. Its total energy is -1.92 eV per atom.